Here is Na3ScSi after structural relaxation from the Alexandria database. Energies are from PBE.

It has space group Pm-3m (No. 221), with a = 5.844 Å, b = 5.844 Å, c = 5.844 Å, α = 90.00°, β = 90.00° and γ = 90.00°. The asymmetric unit holds Na at (0.000, 0.000, 0.500), Sc at (0.000, 0.000, 0.000) and Si at (0.500, 0.500, 0.500).

The value obtained for the energy above the lowest structure with this stoichiometry is 638 meV/atom. The calculation puts the density at 1.2 g/cm³. The calculation puts the uncorrected formation energy at 1330.4 meV per atom. For the total DFT energy (no corrections), the calculation gives -1.812 eV/atom.